VASP calculation (GGA-PBE) on CaCuNi2 after structural relaxation.

a b c (Å): 4.075 4.075 5.352
angles (deg): 67.66 67.66 59.98
Positions (direct):
Ni 0.008 0.008 0.975
Ni 0.690 0.690 0.931
Ca 0.498 0.498 0.506
Cu 0.304 0.304 0.088

Computed properties:
size of the total moment: 0.3 μB/cell
volume: 17.29 Å³ per atom
energy of formation: -0.10 eV per atom
N(E_F): 3.1 states/eV per cell
VASP energy: -18.1 eV per cell

---

VASP calculation (GGA-PBE) on CaCuNi after structural relaxation.

a b c (Å): 4.253 5.047 9.808
angles (deg): 90.00 90.00 90.00
Positions (direct):
Ni 0.250 0.374 0.929
Ni 0.750 0.626 0.929
Ni 0.250 0.874 0.429
Ni 0.750 0.126 0.429
Ca 0.250 0.758 0.710
Ca 0.750 0.242 0.710
Ca 0.250 0.258 0.210
Ca 0.750 0.742 0.210
Cu 0.250 0.866 0.989
Cu 0.750 0.134 0.989
Cu 0.250 0.366 0.489
Cu 0.750 0.634 0.489

Computed properties:
size of the total moment: 0.0 μB/cell
volume: 17.55 Å³ per atom
energy of formation: -0.07 eV per atom
N(E_F): 7.6 states/eV per cell
VASP energy: -48.4 eV per cell

---

VASP calculation (GGA-PBE) on Ca2Cu12Ni5 after structural relaxation.

a b c (Å): 6.410 6.410 6.410
angles (deg): 82.86 82.86 82.86
Positions (direct):
Ca 0.663 0.663 0.663
Ca 0.337 0.337 0.337
Cu 0.291 0.709 0.000
Cu 0.709 0.000 0.291
Cu 0.000 0.291 0.709
Cu 0.709 0.291 0.000
Cu 0.291 0.000 0.709
Cu 0.000 0.709 0.291
Cu 0.343 0.343 0.851
Cu 0.343 0.851 0.343
Cu 0.851 0.343 0.343
Cu 0.657 0.149 0.657
Cu 0.657 0.657 0.149
Cu 0.149 0.657 0.657
Ni 0.000 0.000 0.500
Ni 0.000 0.500 0.000
Ni 0.500 0.000 0.000
Ni 0.903 0.903 0.903
Ni 0.097 0.097 0.097

Computed properties:
size of the total moment: 0.0 μB/cell
volume: 13.56 Å³ per atom
energy of formation: -0.08 eV per atom
N(E_F): 8.8 states/eV per cell
VASP energy: -83.6 eV per cell

---

VASP calculation (GGA-PBE) on CaCuNi2 after structural relaxation.

a b c (Å): 4.397 4.397 4.397
angles (deg): 60.00 60.00 60.00
Positions (direct):
Ni 0.000 0.000 0.000
Ni 0.250 0.250 0.250
Ca 0.500 0.500 0.500
Cu 0.750 0.750 0.750

Computed properties:
size of the total moment: 0.0 μB/cell
volume: 15.03 Å³ per atom
energy of formation: 0.19 eV per atom
N(E_F): 3.2 states/eV per cell
VASP energy: -16.9 eV per cell

---

VASP calculation (GGA-PBE) on Ca3CuNi after structural relaxation.

a b c (Å): 4.064 7.965 8.498
angles (deg): 109.03 90.00 90.00
Positions (direct):
Ca 0.750 0.655 0.411
Ca 0.250 0.345 0.589
Ca 0.750 0.304 0.925
Ca 0.250 0.911 0.760
Ca 0.250 0.696 0.075
Ca 0.750 0.089 0.240
Cu 0.250 0.368 0.203
Cu 0.750 0.632 0.797
Ni 0.250 0.952 0.432
Ni 0.750 0.048 0.568

Computed properties:
size of the total moment: 0.0 μB/cell
relative energy among the computed polymorphs: 0.000 eV/f.u.
volume: 26.00 Å³ per atom
energy of formation: -0.10 eV per atom
N(E_F): 7.3 states/eV per cell
VASP energy: -32.8 eV per cell

---

VASP calculation (GGA-PBE) on Ca4Cu3Ni after structural relaxation.

a b c (Å): 4.153 4.213 10.686
angles (deg): 90.00 90.00 90.00
Positions (direct):
Ni 0.500 0.500 0.059
Ca 0.500 0.500 0.351
Ca 0.000 0.500 0.865
Ca 0.000 0.000 0.140
Ca 0.500 0.000 0.644
Cu 0.000 0.500 0.560
Cu 0.000 0.000 0.439
Cu 0.500 0.000 0.942

Computed properties:
size of the total moment: 0.0 μB/cell
volume: 23.37 Å³ per atom
energy of formation: -0.14 eV per atom
N(E_F): 4.3 states/eV per cell
VASP energy: -27.2 eV per cell